# 1
A relaxed structure of Hf2ZrCrRe, computed with PBE-GGA.

**N(E_F)**: 6.5 states/eV per cell
**DFT formation energy**: 2084 meV per atom
**Symmetry**: P4/mmm (123)

Cell lengths 5.0136, 4.6794, 5.0136 Å; angles 90.00, 90.00, 90.00 degrees
Closest atoms and distances in Å follow each position.
Fractional positions:
Re  0.0000  0.5000  0.0000  2 Zr 2.34
Hf  0.0000  0.0000  0.5000  2 Zr 2.51
Hf  0.5000  0.0000  0.0000  2 Zr 2.51
Zr  0.0000  0.0000  0.0000  2 Re 2.34, 4 Hf 2.51
Cr  0.5000  0.5000  0.5000  8 Hf 3.43, 4 Re 3.55



# 2
A relaxed structure of Li4DyCd5, computed with PBE-GGA.

**N(E_F)**: 4.2 states/eV per cell
**DFT formation energy**: -261 meV per atom
**Symmetry**: P4/mmm (123)

Cell lengths 3.4395, 3.4395, 16.9050 Å; angles 90.00, 90.00, 90.00 degrees
Closest atoms and distances in Å follow each position.
Fractional positions:
Li  0.0000  0.0000  0.2192  8 Cd 2.89-2.91, 1 Li 3.18
Li  0.0000  0.0000  0.4073  8 Cd 2.89-2.90, 2 Li 3.13-3.18
Li  0.0000  0.0000  0.5927  8 Cd 2.89-2.90, 2 Li 3.13-3.18
Li  0.0000  0.0000  0.7808  8 Cd 2.89-2.91, 1 Li 3.18
Dy  0.0000  0.0000  0.0000  8 Cd 3.24, 4 Dy 3.44
Cd  0.5000  0.5000  0.1265  4 Li 2.89, 1 Cd 3.17, 4 Dy 3.24
Cd  0.5000  0.5000  0.3142  8 Li 2.90-2.91, 2 Cd 3.14-3.17
Cd  0.5000  0.5000  0.5000  8 Li 2.89, 2 Cd 3.14
Cd  0.5000  0.5000  0.6858  8 Li 2.90-2.91, 2 Cd 3.14-3.17
Cd  0.5000  0.5000  0.8735  4 Li 2.89, 1 Cd 3.17, 4 Dy 3.24



# 3
A relaxed structure of Ba3In3Pt2, computed with PBE-GGA.

**Energy relative to the lowest polymorph listed for this composition**: 0 kJ/mol of formula units
**N(E_F)**: 11.3 states/eV per cell
**DFT formation energy**: -619 meV per atom
**Symmetry**: Cmcm (63)

Cell lengths 4.5792, 6.6064, 17.6876 Å; angles 90.00, 90.00, 110.28 degrees
Closest atoms and distances in Å follow each position.
Fractional positions:
Ba  0.9466  0.8932  0.3952  3 Pt 3.45-3.63, 7 In 3.60-3.78
Ba  0.0534  0.1068  0.8952  3 Pt 3.45-3.63, 7 In 3.60-3.78
Ba  0.9466  0.8932  0.1048  3 Pt 3.45-3.63, 7 In 3.60-3.78
Ba  0.0534  0.1068  0.6048  3 Pt 3.45-3.63, 7 In 3.60-3.78
Ba  0.6561  0.3122  0.2500  5 In 3.41-3.78, 4 Pt 3.48
Ba  0.3439  0.6878  0.7500  5 In 3.41-3.78, 4 Pt 3.48
In  0.6686  0.3372  0.4633  3 Pt 2.80-2.89
In  0.3314  0.6628  0.9633  3 Pt 2.80-2.89
In  0.6686  0.3372  0.0367  3 Pt 2.80-2.89
In  0.3314  0.6628  0.5367  3 Pt 2.80-2.89
In  0.3605  0.7211  0.2500  2 Pt 2.84
In  0.6395  0.2789  0.7500  2 Pt 2.84
Pt  0.7608  0.5215  0.8864  4 In 2.80-2.89
Pt  0.2392  0.4785  0.3864  4 In 2.80-2.89
Pt  0.7608  0.5215  0.6136  4 In 2.80-2.89
Pt  0.2392  0.4785  0.1136  4 In 2.80-2.89